DFT (meta-GGA SCAN) results for a PBEsol-optimized structure of TaAl2Cu.

abc: 3.023 3.023 6.444
angles: 90.00 90.00 90.00
Element x y z (fractional)
Cu (0.000, 0.000, 0.466)
Ta (0.500, 0.500, 0.742)
Al (0.500, 0.500, 0.279)
Al (0.000, 0.000, 0.014)

Values from the calculation:
Space-group type: P4mm, No. 99

***

DFT (meta-GGA SCAN) results for a PBEsol-optimized structure of TaAlCu2.

abc: 2.812 2.812 6.930
angles: 90.00 90.00 90.00
Element x y z (fractional)
Cu (0.500, 0.500, 0.223)
Cu (0.000, 0.000, 0.007)
Ta (0.000, 0.000, 0.490)
Al (0.500, 0.500, 0.780)

Values from the calculation:
Space-group type: P4mm, No. 99

***

DFT (meta-GGA SCAN) results for a PBEsol-optimized structure of TaAl2Cu.

abc: 3.767 3.930 3.930
angles: 90.00 90.00 90.00
Element x y z (fractional)
Al (0.000, 0.000, 0.500)
Al (0.000, 0.500, 0.000)
Ta (0.500, 0.000, 0.000)
Cu (0.500, 0.500, 0.500)

Values from the calculation:
Space-group type: P4/mmm, No. 123

***

DFT (meta-GGA SCAN) results for a PBEsol-optimized structure of TaAl3Cu.

abc: 4.944 4.944 4.944
angles: 90.00 90.00 90.00
Element x y z (fractional)
Al (0.500, 0.000, 0.000)
Al (0.000, 0.500, 0.000)
Al (0.000, 0.000, 0.500)
Ta (0.000, 0.000, 0.000)
Cu (0.500, 0.500, 0.500)

Values from the calculation:
Space-group type: Pm-3m, No. 221

***

For reference, formation energy by record: -146, -172, -302, 1262 meV per atom.